Entry from the Alexandria database: a geometry-optimized Cs3RbCr2Br9 structure (PBE).

Symmetry ... P-3m1, No. 164

a = 7.736 Å, b = 7.736 Å, c = 10.739 Å
α = 90.00°, β = 90.00°, γ = 120.00°
Sites, in units of the cell vectors:
Cs  0.000  0.000  0.000
Cs  0.333  0.667  0.721
Cs  0.667  0.333  0.279
Rb  0.000  0.000  0.500
Cr  0.333  0.667  0.149
Cr  0.667  0.333  0.851
Br  0.000  0.500  0.000
Br  0.177  0.354  0.279
Br  0.177  0.823  0.279
Br  0.354  0.177  0.721
Br  0.500  0.000  0.000
Br  0.500  0.500  0.000
Br  0.646  0.823  0.279
Br  0.823  0.177  0.721
Br  0.823  0.646  0.721

---

Entry from the Alexandria database: a geometry-optimized CsRbCr2Br8 structure (PBE).

Symmetry ... R-3, No. 148

a = 11.276 Å, b = 11.276 Å, c = 11.276 Å
α = 38.23°, β = 38.23°, γ = 38.23°
Sites, in units of the cell vectors:
Cs  0.000  0.000  0.000
Rb  0.500  0.500  0.500
Cr  0.254  0.254  0.254
Cr  0.746  0.746  0.746
Br  0.038  0.431  0.835
Br  0.165  0.962  0.569
Br  0.329  0.329  0.329
Br  0.431  0.835  0.038
Br  0.569  0.165  0.962
Br  0.671  0.671  0.671
Br  0.835  0.038  0.431
Br  0.962  0.569  0.165

---

Entry from the Alexandria database: a geometry-optimized Cs2RbCrBr6 structure (PBE).

Symmetry ... Fm-3m, No. 225

a = 8.208 Å, b = 8.208 Å, c = 8.208 Å
α = 60.00°, β = 60.00°, γ = 60.00°
Sites, in units of the cell vectors:
Cs  0.250  0.250  0.250
Cs  0.750  0.750  0.750
Rb  0.000  0.000  0.000
Cr  0.500  0.500  0.500
Br  0.282  0.282  0.718
Br  0.282  0.718  0.282
Br  0.282  0.718  0.718
Br  0.718  0.282  0.282
Br  0.718  0.282  0.718
Br  0.718  0.718  0.282

---

Entry from the Alexandria database: a geometry-optimized Cs4RbCr3Br12 structure (PBE).

Symmetry ... Im-3m, No. 229

a = 9.668 Å, b = 9.668 Å, c = 9.668 Å
α = 109.47°, β = 109.47°, γ = 109.47°
Sites, in units of the cell vectors:
Cs  0.000  0.000  0.500
Cs  0.000  0.500  0.000
Cs  0.500  0.000  0.000
Cs  0.500  0.500  0.500
Rb  0.000  0.000  0.000
Cr  0.000  0.500  0.500
Cr  0.500  0.000  0.500
Cr  0.500  0.500  0.000
Br  0.000  0.280  0.280
Br  0.000  0.720  0.720
Br  0.250  0.500  0.750
Br  0.250  0.750  0.500
Br  0.280  0.000  0.280
Br  0.280  0.280  0.000
Br  0.500  0.250  0.750
Br  0.500  0.750  0.250
Br  0.720  0.000  0.720
Br  0.720  0.720  0.000
Br  0.750  0.250  0.500
Br  0.750  0.500  0.250

---

Entry from the Alexandria database: a geometry-optimized Cs2RbCr2Br7 structure (PBE).

Symmetry ... I4/mmm, No. 139

a = 14.655 Å, b = 14.655 Å, c = 14.655 Å
α = 158.84°, β = 158.84°, γ = 30.10°
Sites, in units of the cell vectors:
Cs  0.181  0.181  0.000
Cs  0.819  0.819  0.000
Rb  0.000  0.000  0.000
Cr  0.406  0.406  0.000
Cr  0.594  0.594  0.000
Br  0.091  0.591  0.500
Br  0.314  0.314  0.000
Br  0.409  0.909  0.500
Br  0.500  0.500  0.000
Br  0.591  0.091  0.500
Br  0.686  0.686  0.000
Br  0.909  0.409  0.500

---

Entry from the Alexandria database: a geometry-optimized Cs2CrReBr6 structure (PBE).

Symmetry ... I4/mmm, No. 139

a = 7.645 Å, b = 7.645 Å, c = 7.645 Å
α = 119.91°, β = 119.91°, γ = 90.16°
Sites, in units of the cell vectors:
Cs  0.250  0.750  0.500
Cs  0.750  0.250  0.500
Cr  0.000  0.000  0.000
Re  0.500  0.500  0.000
Br  0.256  0.256  0.000
Br  0.257  0.257  0.514
Br  0.257  0.743  0.000
Br  0.743  0.257  0.000
Br  0.743  0.743  0.486
Br  0.744  0.744  0.000

---

| no. | DFT total energy (eV/cell) |
| --- | --- |
| 1 | -56.89 |
| 2 | -46.24 |
| 3 | -36.13 |
| 4 | -78.00 |
| 5 | -48.35 |
| 6 | -40.96 |